Computed, not measured: an optimized crystal structure of Cs2MoPt at the PBEsol level of DFT.

a = 5.7340 Å, b = 5.7340 Å, c = 5.7340 Å
α = 60.00°, β = 60.00°, γ = 60.00°
Each line ends with the local moment (μB).
Fractional positions:
1 Cs 0.2500 0.2500 0.2500  0.09
2 Cs 0.7500 0.7500 0.7500  0.09
3 Mo 0.0000 0.0000 0.0000  4.26
4 Pt 0.5000 0.5000 0.5000  0.22

Summary:
As for the space-group type: No. 225. As for the density of states at the Fermi level: 1.7 states/eV per cell. Its total energy is -14.263 eV for the cell shown. The energy of formation is 1.588 eV/atom. The size of the total moment is 5.92 μB/cell.


Computed, not measured: an optimized crystal structure of CsRbMo2 at the PBEsol level of DFT.

a = 6.1948 Å, b = 6.1948 Å, c = 6.1948 Å
α = 60.00°, β = 60.00°, γ = 60.00°
Each line ends with the local moment (μB).
Fractional positions:
1 Cs 0.5000 0.5000 0.5000  0.06
2 Mo 0.2500 0.2500 0.2500  4.02
3 Mo 0.7500 0.7500 0.7500  4.02
4 Rb 0.0000 0.0000 0.0000  0.04

Summary:
As for the space-group type: No. 225. As for the density of states at the Fermi level: 1.7 states/eV per cell. Its total energy is -14.805 eV for the cell shown. The energy of formation is 2.675 eV/atom. The size of the total moment is 10.17 μB/cell.


Computed, not measured: an optimized crystal structure of CsMo2Rh at the PBEsol level of DFT.

a = 4.5835 Å, b = 4.5835 Å, c = 4.5835 Å
α = 60.00°, β = 60.00°, γ = 60.00°
Fractional positions:
1 Cs 0.5000 0.5000 0.5000
2 Mo 0.2500 0.2500 0.2500
3 Mo 0.7500 0.7500 0.7500
4 Rh 0.0000 0.0000 0.0000

Summary:
As for the space-group type: No. 225. As for the density of states at the Fermi level: 2.8 states/eV per cell. Its total energy is -26.544 eV for the cell shown. The energy of formation is 1.518 eV/atom. The size of the total moment is 0.00 μB/cell.


Computed, not measured: an optimized crystal structure of CsTc2MoRu at the PBEsol level of DFT.

a = 4.8022 Å, b = 4.7715 Å, c = 4.7715 Å
α = 90.00°, β = 90.00°, γ = 90.00°
Each line ends with the local moment (μB).
Fractional positions:
1 Cs 0.5000 0.5000 0.5000  0.09
2 Ru 0.0000 0.0000 0.0000  -0.13
3 Mo 0.5000 0.0000 0.0000  1.29
4 Tc 0.0000 0.0000 0.5000  0.83
5 Tc 0.0000 0.5000 0.0000  0.83

Summary:
As for the space-group type: No. 123. As for the density of states at the Fermi level: 5.2 states/eV per cell. Its total energy is -35.497 eV for the cell shown. The energy of formation is 1.984 eV/atom. The size of the total moment is 3.21 μB/cell.


Computed, not measured: an optimized crystal structure of Cs2Mo15S19 at the PBEsol level of DFT.

a = 9.3647 Å, b = 9.3647 Å, c = 19.4871 Å
α = 76.10°, β = 76.10°, γ = 60.00°
Fractional positions:
1 Cs 0.6135 0.6135 0.1595
2 Cs 0.8865 0.8865 0.3405
3 Cs 0.1135 0.1135 0.6595
4 Cs 0.3865 0.3865 0.8405
5 Mo 0.2169 0.0399 0.3718
6 Mo 0.0025 0.8650 0.9381
7 Mo 0.9975 0.1350 0.0619
8 Mo 0.7169 0.8714 0.8718
9 Mo 0.0399 0.3714 0.3718
10 Mo 0.7831 0.9601 0.6282
11 Mo 0.5851 0.9149 0.7500
12 Mo 0.6350 0.4975 0.5619
13 Mo 0.7500 0.5851 0.7500
14 Mo 0.4601 0.2831 0.1282
15 Mo 0.0851 0.2500 0.2500
16 Mo 0.8056 0.9975 0.0619
17 Mo 0.2831 0.1286 0.1282
18 Mo 0.8650 0.1944 0.9381
19 Mo 0.5399 0.7169 0.8718
20 Mo 0.9149 0.7500 0.7500
21 Mo 0.1350 0.8056 0.0619
22 Mo 0.8714 0.5399 0.8718
23 Mo 0.3714 0.2169 0.3718
24 Mo 0.5025 0.6944 0.4381
25 Mo 0.4149 0.0851 0.2500
26 Mo 0.6286 0.7831 0.6282
27 Mo 0.1944 0.0025 0.9381
28 Mo 0.6944 0.3650 0.4381
29 Mo 0.3056 0.6350 0.5619
30 Mo 0.2500 0.4149 0.2500
31 Mo 0.3650 0.5025 0.4381
32 Mo 0.4975 0.3056 0.5619
33 Mo 0.1286 0.4601 0.1282
34 Mo 0.9601 0.6286 0.6282
35 S 0.7500 0.0514 0.7500
36 S 0.5733 0.9838 0.1420
37 S 0.4838 0.0733 0.6420
38 S 0.2021 0.7975 0.4511
39 S 0.0493 0.2975 0.9511
40 S 0.3009 0.5733 0.1420
41 S 0.6768 0.6768 0.9696
42 S 0.2975 0.7021 0.9511
43 S 0.9486 0.5514 0.2500
44 S 0.0733 0.8009 0.6420
45 S 0.2500 0.9486 0.2500
46 S 0.1991 0.5162 0.3580
47 S 0.1768 0.1768 0.4696
48 S 0.5533 0.5533 0.3402
49 S 0.0533 0.0533 0.8402
50 S 0.7025 0.2979 0.0489
51 S 0.5162 0.9267 0.3580
52 S 0.9838 0.3009 0.1420
53 S 0.2025 0.4507 0.5489
54 S 0.4507 0.7979 0.5489
55 S 0.4467 0.4467 0.6598
56 S 0.9467 0.9467 0.1598
57 S 0.0514 0.4486 0.7500
58 S 0.7975 0.5493 0.4511
59 S 0.9507 0.7025 0.0489
60 S 0.4267 0.0162 0.8580
61 S 0.0162 0.6991 0.8580
62 S 0.7979 0.2025 0.5489
63 S 0.4486 0.7500 0.7500
64 S 0.6991 0.4267 0.8580
65 S 0.3232 0.3232 0.0304
66 S 0.2979 0.9507 0.0489
67 S 0.9267 0.1991 0.3580
68 S 0.8232 0.8232 0.5304
69 S 0.8009 0.4838 0.6420
70 S 0.7021 0.0493 0.9511
71 S 0.5514 0.2500 0.2500
72 S 0.5493 0.2021 0.4511

Summary:
As for the space-group type: No. 167. As for the density of states at the Fermi level: 41.1 states/eV per cell. Its total energy is -583.589 eV for the cell shown. The size of the total moment is 0.00 μB/cell.


Computed, not measured: an optimized crystal structure of Cs2MoS4 at the PBEsol level of DFT.

a = 7.1103 Å, b = 10.0463 Å, c = 12.5953 Å
α = 90.00°, β = 90.00°, γ = 90.00°
Fractional positions:
1 Cs 0.2500 0.6539 0.8982
2 Cs 0.7500 0.8461 0.3982
3 Cs 0.7500 0.0358 0.8318
4 Cs 0.2500 0.1539 0.6018
5 Cs 0.2500 0.4642 0.3318
6 Cs 0.7500 0.3461 0.1018
7 Cs 0.7500 0.5358 0.6682
8 Cs 0.2500 0.9642 0.1682
9 Mo 0.2500 0.2462 0.9209
10 Mo 0.7500 0.2538 0.4209
11 Mo 0.7500 0.7538 0.0791
12 Mo 0.2500 0.7462 0.5791
13 S 0.0008 0.8348 0.6507
14 S 0.9992 0.1652 0.3493
15 S 0.2500 0.5313 0.6072
16 S 0.9992 0.6652 0.1507
17 S 0.2500 0.2887 0.0908
18 S 0.7500 0.7113 0.9092
19 S 0.7500 0.2113 0.5908
20 S 0.0008 0.3348 0.8493
21 S 0.5008 0.1652 0.3493
22 S 0.7500 0.4687 0.3928
23 S 0.2500 0.0313 0.8928
24 S 0.4992 0.8348 0.6507
25 S 0.2500 0.7887 0.4092
26 S 0.4992 0.3348 0.8493
27 S 0.5008 0.6652 0.1507
28 S 0.7500 0.9687 0.1072

Summary:
As for the space-group type: No. 62. As for the density of states at the Fermi level: 0.0 states/eV per cell. Its total energy is -152.550 eV for the cell shown. The size of the total moment is 0.00 μB/cell.


Computed, not measured: an optimized crystal structure of Cs2SbMo at the PBEsol level of DFT.

a = 6.1227 Å, b = 6.1227 Å, c = 6.1227 Å
α = 60.00°, β = 60.00°, γ = 60.00°
Each line ends with the local moment (μB).
Fractional positions:
1 Cs 0.2500 0.2500 0.2500  0.04
2 Cs 0.7500 0.7500 0.7500  0.04
3 Sb 0.5000 0.5000 0.5000  -0.17
4 Mo 0.0000 0.0000 0.0000  4.18

Summary:
As for the space-group type: No. 225. As for the density of states at the Fermi level: 2.6 states/eV per cell. Its total energy is -13.283 eV for the cell shown. The size of the total moment is 5.00 μB/cell.


Computed, not measured: an optimized crystal structure of CsScMo2 at the PBEsol level of DFT.

a = 4.7644 Å, b = 4.7644 Å, c = 4.7644 Å
α = 60.00°, β = 60.00°, γ = 60.00°
Fractional positions:
1 Cs 0.5000 0.5000 0.5000
2 Sc 0.0000 0.0000 0.0000
3 Mo 0.2500 0.2500 0.2500
4 Mo 0.7500 0.7500 0.7500

Summary:
As for the space-group type: No. 225. As for the density of states at the Fermi level: 6.6 states/eV per cell. Its total energy is -24.236 eV for the cell shown. The energy of formation is 1.712 eV/atom. The size of the total moment is 0.00 μB/cell.


Computed, not measured: an optimized crystal structure of Cs3Mo15Se17 at the PBEsol level of DFT.

a = 9.5803 Å, b = 9.5803 Å, c = 20.7957 Å
α = 90.00°, β = 90.00°, γ = 120.00°
Fractional positions:
1 Cs 0.0000 0.0000 0.3616
2 Cs 0.0000 0.0000 0.8616
3 Cs 0.0000 0.0000 0.1384
4 Cs 0.0000 0.0000 0.6384
5 Cs 0.6667 0.3333 0.7500
6 Cs 0.3333 0.6667 0.2500
7 Mo 0.8362 0.3566 0.4662
8 Mo 0.1638 0.6434 0.9662
9 Mo 0.8357 0.3546 0.2500
10 Mo 0.8162 0.5020 0.1430
11 Mo 0.3566 0.5204 0.9662
12 Mo 0.1643 0.6454 0.7500
13 Mo 0.3546 0.5189 0.7500
14 Mo 0.4796 0.8362 0.9662
15 Mo 0.8162 0.5020 0.3570
16 Mo 0.4980 0.3141 0.1430
17 Mo 0.6434 0.4796 0.4662
18 Mo 0.5020 0.6859 0.8570
19 Mo 0.3141 0.8162 0.6430
20 Mo 0.1838 0.4980 0.8570
21 Mo 0.4980 0.3141 0.3570
22 Mo 0.4811 0.8357 0.7500
23 Mo 0.1838 0.4980 0.6430
24 Mo 0.3141 0.8162 0.8570
25 Mo 0.5020 0.6859 0.6430
26 Mo 0.6859 0.1838 0.1430
27 Mo 0.4796 0.8362 0.5338
28 Mo 0.5204 0.1638 0.4662
29 Mo 0.6434 0.4796 0.0338
30 Mo 0.6454 0.4811 0.2500
31 Mo 0.8362 0.3566 0.0338
32 Mo 0.5204 0.1638 0.0338
33 Mo 0.3566 0.5204 0.5338
34 Mo 0.1638 0.6434 0.5338
35 Mo 0.6859 0.1838 0.3570
36 Mo 0.5189 0.1643 0.2500
37 Se 0.3776 0.0046 0.3587
38 Se 0.6270 0.6224 0.3587
39 Se 0.0445 0.3368 0.9579
40 Se 0.6665 0.7098 0.7500
41 Se 0.7077 0.0445 0.0421
42 Se 0.0046 0.6270 0.8587
43 Se 0.6270 0.6224 0.1413
44 Se 0.2923 0.9555 0.5421
45 Se 0.2923 0.9555 0.9579
46 Se 0.6224 0.9954 0.6413
47 Se 0.3335 0.2902 0.2500
48 Se 0.9555 0.6632 0.4579
49 Se 0.3333 0.6667 0.4372
50 Se 0.7098 0.0433 0.2500
51 Se 0.3333 0.6667 0.0628
52 Se 0.3730 0.3776 0.6413
53 Se 0.6632 0.7077 0.9579
54 Se 0.9954 0.3730 0.1413
55 Se 0.3368 0.2923 0.0421
56 Se 0.2902 0.9567 0.7500
57 Se 0.6224 0.9954 0.8587
58 Se 0.9567 0.6665 0.2500
59 Se 0.9954 0.3730 0.3587
60 Se 0.3368 0.2923 0.4579
61 Se 0.0046 0.6270 0.6413
62 Se 0.0433 0.3335 0.7500
63 Se 0.9555 0.6632 0.0421
64 Se 0.3776 0.0046 0.1413
65 Se 0.0445 0.3368 0.5421
66 Se 0.6667 0.3333 0.9372
67 Se 0.6667 0.3333 0.5628
68 Se 0.6632 0.7077 0.5421
69 Se 0.7077 0.0445 0.4579
70 Se 0.3730 0.3776 0.8587

Summary:
As for the space-group type: No. 176. As for the density of states at the Fermi level: 21.1 states/eV per cell. Its total energy is -537.260 eV for the cell shown. The size of the total moment is 0.00 μB/cell.


Computed, not measured: an optimized crystal structure of CsMo3Se at the PBEsol level of DFT.

a = 4.8632 Å, b = 4.8632 Å, c = 4.8632 Å
α = 90.00°, β = 90.00°, γ = 90.00°
Fractional positions:
1 Cs 0.0000 0.0000 0.0000
2 Mo 0.0000 0.5000 0.0000
3 Mo 0.0000 0.0000 0.5000
4 Mo 0.5000 0.0000 0.0000
5 Se 0.5000 0.5000 0.5000

Summary:
As for the space-group type: No. 221. As for the density of states at the Fermi level: 7.5 states/eV per cell. Its total energy is -23.791 eV for the cell shown. The size of the total moment is 0.01 μB/cell.


Computed, not measured: an optimized crystal structure of CsSiMo3 at the PBEsol level of DFT.

a = 4.6751 Å, b = 4.6751 Å, c = 4.6751 Å
α = 90.00°, β = 90.00°, γ = 90.00°
Fractional positions:
1 Cs 0.5000 0.5000 0.5000
2 Mo 0.0000 0.5000 0.0000
3 Mo 0.0000 0.0000 0.5000
4 Mo 0.5000 0.0000 0.0000
5 Si 0.0000 0.0000 0.0000

Summary:
As for the space-group type: No. 221. As for the density of states at the Fermi level: 9.0 states/eV per cell. Its total energy is -33.230 eV for the cell shown. The size of the total moment is 0.00 μB/cell.


Computed, not measured: an optimized crystal structure of CsTl2SiMo at the PBEsol level of DFT.

a = 4.8398 Å, b = 5.4169 Å, c = 5.4169 Å
α = 90.00°, β = 90.00°, γ = 90.00°
Fractional positions:
1 Cs 0.5000 0.5000 0.5000
2 Tl 0.0000 0.0000 0.5000
3 Tl 0.0000 0.5000 0.0000
4 Si 0.5000 0.0000 0.0000
5 Mo 0.0000 0.0000 0.0000

Summary:
As for the space-group type: No. 123. As for the density of states at the Fermi level: 2.6 states/eV per cell. Its total energy is -22.619 eV for the cell shown. The size of the total moment is 0.00 μB/cell.